Entry 1:
DFT (PBE) results for a relaxed Ba3PmPr3Se8 crystal.

Values from the calculation:
Volume, Å³ per cell: 497.65

```
Ba3PmPr3Se8
1.0
8.710 0.000 0.000
-4.355 7.544 -0.027
0.000 -5.001 7.592
Ba Se Pr Pm
3 8 3 1
Direct
0.500 0.500 0.000
0.000 0.000 0.000
0.000 0.500 0.000
0.258 0.516 0.275
0.238 0.981 0.719
0.743 0.981 0.719
0.762 0.019 0.281
0.742 0.484 0.725
0.257 0.019 0.281
0.762 0.524 0.281
0.238 0.476 0.719
0.500 0.000 0.500
0.500 0.500 0.500
0.000 0.500 0.500
0.000 0.000 0.500
```



Entry 2:
DFT (PBE) results for a relaxed BaPmPr2Se4 crystal.

Values from the calculation:
Volume, Å³ per cell: 232.30

```
BaPmPr2Se4
1.0
-0.943 -3.042 2.901
6.497 -3.501 -1.560
5.388 2.687 4.567
Ba Se Pr Pm
1 4 2 1
Direct
0.000 0.500 0.500
0.000 0.752 0.761
0.500 0.763 0.233
0.500 0.237 0.767
0.000 0.248 0.239
0.000 0.000 0.000
0.500 0.000 0.500
0.500 0.500 0.000
```



Entry 3:
DFT (PBE) results for a relaxed Ba3Pm3PrSe8 crystal.

Values from the calculation:
Volume, Å³ per cell: 488.36

```
Ba3Pm3PrSe8
1.0
-4.393 6.281 3.991
-4.056 -5.281 -5.509
2.590 -3.288 8.024
Ba Pm Pr Se
3 3 1 8
Direct
0.000 0.000 0.000
0.000 0.500 0.000
0.500 0.500 0.000
0.500 0.500 0.500
0.500 0.000 0.500
0.000 0.500 0.500
0.000 0.000 0.500
0.260 0.519 0.279
0.740 0.481 0.721
0.265 0.023 0.281
0.242 0.484 0.720
0.242 0.977 0.719
0.758 0.023 0.281
0.758 0.516 0.280
0.735 0.977 0.719
```



no.,final energy (eV per atom),total magnetization (μB/atom)
1,-5.46,0.000
2,-5.61,0.000
3,-5.45,0.000